1.
VASP calculation (PBE-GGA) on a geometry-optimized Sr4MgTl structure.

Lattice parameters (Å, degrees): 5.8067 5.8067 8.2941 89.99 90.00 90.01
Last column: nearest neighbours and their distance in Å.
Fractional coordinates of all 6 atoms:
Sr 0.5012 0.9972 0.2624  2 Tl 3.50, 2 Mg 3.63-3.64, 1 Sr 3.91
Sr 0.5013 0.9976 0.7338  2 Tl 3.50, 2 Mg 3.64, 1 Sr 3.91
Sr 0.0013 0.4975 0.7338  2 Tl 3.50, 2 Mg 3.64, 1 Sr 3.91
Sr 0.0011 0.4973 0.2624  2 Tl 3.50, 2 Mg 3.63-3.64, 1 Sr 3.91
Mg 0.5015 0.4968 0.9984  8 Sr 3.63-3.64
Tl 0.0013 0.9974 0.4981  8 Sr 3.50

Computed properties:
As for the crystal system: monoclinic. Its formation energy from the elements is -0.033 eV/atom. The theoretical density comes out at 3.44 g/cm³. As for the space group: Pm, No. 6.


2.
VASP calculation (PBE-GGA) on a geometry-optimized SrMg12Tl6 structure.

Lattice parameters (Å, degrees): 8.3518 8.3518 8.3518 104.88 104.88 104.88
Last column: nearest neighbours and their distance in Å.
Fractional coordinates of all 19 atoms:
Sr 0.0000 0.0000 0.0000  6 Mg 3.83, 6 Tl 4.21
Mg 0.8866 0.1134 0.5000  4 Tl 2.85-2.94, 1 Mg 3.00
Mg 0.8389 0.5880 0.5880  4 Tl 3.04-3.32, 4 Mg 3.30-3.32
Mg 0.5880 0.5880 0.8389  4 Tl 3.04-3.32, 4 Mg 3.30-3.32
Mg 0.4120 0.1611 0.4120  4 Tl 3.04-3.32, 4 Mg 3.30-3.32
Mg 0.4120 0.4120 0.1611  4 Tl 3.04-3.32, 4 Mg 3.30-3.32
Mg 0.1611 0.4120 0.4120  4 Tl 3.04-3.32, 4 Mg 3.30-3.32
Mg 0.1134 0.5000 0.8866  4 Tl 2.85-2.94, 1 Mg 3.00
Mg 0.5000 0.8866 0.1134  4 Tl 2.85-2.94, 1 Mg 3.00
Mg 0.1134 0.8866 0.5000  4 Tl 2.85-2.94, 1 Mg 3.00
Mg 0.8866 0.5000 0.1134  4 Tl 2.85-2.94, 1 Mg 3.00
Mg 0.5000 0.1134 0.8866  4 Tl 2.85-2.94, 1 Mg 3.00
Mg 0.5880 0.8389 0.5880  4 Tl 3.04-3.32, 4 Mg 3.30-3.32
Tl 0.7222 0.2620 0.2620  7 Mg 2.85-3.17
Tl 0.2620 0.2620 0.7222  7 Mg 2.85-3.17
Tl 0.2620 0.7222 0.2620  7 Mg 2.85-3.17
Tl 0.7380 0.7380 0.2778  7 Mg 2.85-3.17
Tl 0.2778 0.7380 0.7380  7 Mg 2.85-3.17
Tl 0.7380 0.2778 0.7380  7 Mg 2.85-3.17

Computed properties:
As for the crystal system: trigonal. Its formation energy from the elements is 0.024 eV/atom. The theoretical density comes out at 5.22 g/cm³. As for the space group: R-3m, No. 166.